Entry 1:
Density functional theory data (PBE) for a relaxed structure of Mn2OsSe.

Computed properties:
The space-group type is No. 139. For the formation energy without anion corrections, the calculation gives 0.4982 eV/atom. The calculation puts the spin magnetization at 6.37 μB per cell.

Cell: 4.657 4.657 4.657 Å, 129.82 129.82 73.69°
Fractional positions:
1 Mn 0.000 0.000 0.000
2 Mn 0.500 0.500 0.000
3 Os 0.250 0.750 0.500
4 Se 0.750 0.250 0.500

=====

Entry 2:
Density functional theory data (PBE) for a relaxed structure of MnOsSe2.

Computed properties:
The space-group type is No. 65. For the formation energy without anion corrections, the calculation gives 0.6760 eV/atom. The calculation puts the spin magnetization at 4.14 μB per cell. Its energy above the lowest structure with this stoichiometry is 758 meV per atom.

Cell: 3.190 3.190 8.139 Å, 90.00 90.00 122.75°
Fractional positions:
1 Mn 0.500 0.500 0.250
2 Os 0.500 0.500 0.750
3 Se 0.000 0.000 0.997
4 Se 0.000 0.000 0.503

=====

Entry 3:
Density functional theory data (PBE) for a relaxed structure of Mn2OsSe.

Computed properties:
The space-group type is No. 119. For the formation energy without anion corrections, the calculation gives 0.4494 eV/atom. The calculation puts the spin magnetization at 6.27 μB per cell.

Cell: 4.883 4.883 4.883 Å, 134.99 134.99 65.55°
Fractional positions:
1 Mn 0.000 0.000 0.000
2 Mn 0.250 0.750 0.500
3 Os 0.500 0.500 0.000
4 Se 0.750 0.250 0.500

=====

Entry 4:
Density functional theory data (PBE) for a relaxed structure of Mn2OsSe.

Computed properties:
The space-group type is No. 166. For the formation energy without anion corrections, the calculation gives 0.3033 eV/atom. The calculation puts the spin magnetization at 2.19 μB per cell.

Cell: 8.088 8.088 8.088 Å, 19.73 19.73 19.73°
Fractional positions:
1 Mn 0.004 0.004 0.004
2 Mn 0.496 0.496 0.496
3 Os 0.250 0.250 0.250
4 Se 0.750 0.750 0.750

=====

Entry 5:
Density functional theory data (PBE) for a relaxed structure of Mn2OsSe.

Computed properties:
The space-group type is No. 123. For the formation energy without anion corrections, the calculation gives 0.4181 eV/atom. The calculation puts the spin magnetization at 6.67 μB per cell.

Cell: 4.328 4.328 3.110 Å, 90.00 90.00 90.00°
Fractional positions:
1 Mn 0.000 0.000 0.000
2 Mn 0.500 0.500 0.000
3 Os 0.500 0.000 0.500
4 Se 0.000 0.500 0.500

=====

Entry 6:
Density functional theory data (PBE) for a relaxed structure of MnOsSe2.

Computed properties:
The space-group type is No. 44. For the formation energy without anion corrections, the calculation gives 0.3062 eV/atom. The calculation puts the spin magnetization at 3.51 μB per cell. Its energy above the lowest structure with this stoichiometry is 389 meV per atom.

Cell: 6.290 6.290 6.290 Å, 151.36 143.77 46.82°
Fractional positions:
1 Mn 0.437 0.437 0.000
2 Os 0.233 0.733 0.500
3 Se 0.046 0.046 0.000
4 Se 0.783 0.283 0.500

=====

Entry 7:
Density functional theory data (PBE) for a relaxed structure of MnOs2Se.

Computed properties:
The space-group type is No. 123. For the formation energy without anion corrections, the calculation gives 0.4429 eV/atom. The calculation puts the spin magnetization at 2.67 μB per cell.

Cell: 3.050 3.050 6.215 Å, 90.00 90.00 90.00°
Fractional positions:
1 Mn 0.500 0.500 0.750
2 Os 0.000 0.000 0.978
3 Os 0.000 0.000 0.522
4 Se 0.500 0.500 0.250

=====

Entry 8:
Density functional theory data (PBE) for a relaxed structure of MnOsSe4.

Computed properties:
The space-group type is No. 216. For the formation energy without anion corrections, the calculation gives 1.3724 eV/atom. The calculation puts the spin magnetization at 6.86 μB per cell.

Cell: 5.539 5.539 5.539 Å, 60.00 60.00 60.00°
Fractional positions:
1 Mn 0.750 0.750 0.750
2 Os 0.000 0.000 0.000
3 Se 0.878 0.374 0.374
4 Se 0.374 0.374 0.878
5 Se 0.374 0.878 0.374
6 Se 0.374 0.374 0.374

=====

Entry 9:
Density functional theory data (PBE) for a relaxed structure of MnOsSe2.

Computed properties:
The space-group type is No. 35. For the formation energy without anion corrections, the calculation gives 0.3968 eV/atom. The calculation puts the spin magnetization at 3.76 μB per cell. Its energy above the lowest structure with this stoichiometry is 479 meV per atom.

Cell: 2.954 2.954 9.710 Å, 90.00 90.00 118.37°
Fractional positions:
1 Mn 0.000 0.000 0.514
2 Os 0.500 0.500 0.733
3 Se 0.000 0.000 0.938
4 Se 0.500 0.500 0.315

=====

Entry 10:
Density functional theory data (PBE) for a relaxed structure of MnOsSe2.

Computed properties:
The space-group type is No. 160. For the formation energy without anion corrections, the calculation gives 0.1014 eV/atom. The calculation puts the spin magnetization at 3.06 μB per cell. Its energy above the lowest structure with this stoichiometry is 184 meV per atom.

Cell: 9.309 9.309 9.309 Å, 19.44 19.44 19.44°
Fractional positions:
1 Mn 0.497 0.497 0.497
2 Os 0.754 0.754 0.754
3 Se 0.027 0.027 0.027
4 Se 0.222 0.222 0.222

=====

Entry 11:
Density functional theory data (PBE) for a relaxed structure of MnOsSe2.

Computed properties:
The space-group type is No. 47. For the formation energy without anion corrections, the calculation gives 0.6691 eV/atom. The calculation puts the spin magnetization at 4.31 μB per cell. Its energy above the lowest structure with this stoichiometry is 751 meV per atom.

Cell: 3.244 6.176 3.808 Å, 90.00 90.00 90.00°
Fractional positions:
1 Mn 0.500 0.000 0.500
2 Os 0.000 0.500 0.500
3 Se 0.000 0.000 0.000
4 Se 0.500 0.500 0.000

=====

Entry 12:
Density functional theory data (PBE) for a relaxed structure of Mn2OsSe.

Computed properties:
The space-group type is No. 216. For the formation energy without anion corrections, the calculation gives 0.4321 eV/atom. The calculation puts the spin magnetization at 3.30 μB per cell.

Cell: 4.238 4.238 4.238 Å, 60.00 60.00 60.00°
Fractional positions:
1 Mn 0.000 0.000 0.000
2 Mn 0.250 0.250 0.250
3 Os 0.500 0.500 0.500
4 Se 0.750 0.750 0.750

=====

Entry 13:
Density functional theory data (PBE) for a relaxed structure of MnOs2Se.

Computed properties:
The space-group type is No. 12. For the formation energy without anion corrections, the calculation gives 0.6378 eV/atom. The calculation puts the spin magnetization at 2.98 μB per cell.

Cell: 5.278 4.642 2.826 Å, 87.05 75.81 115.21°
Fractional positions:
1 Mn 0.500 0.000 0.500
2 Os 0.000 0.000 0.000
3 Os 0.000 0.500 0.500
4 Se 0.500 0.500 0.000

=====

Entry 14:
Density functional theory data (PBE) for a relaxed structure of Mn2OsSe.

Computed properties:
The space-group type is No. 35. For the formation energy without anion corrections, the calculation gives 0.5364 eV/atom. The calculation puts the spin magnetization at 5.24 μB per cell.

Cell: 2.709 2.709 9.282 Å, 90.00 90.00 113.37°
Fractional positions:
1 Mn 0.000 0.000 0.012
2 Mn 0.500 0.500 0.235
3 Os 0.000 0.000 0.447
4 Se 0.500 0.500 0.805

=====

Entry 15:
Density functional theory data (PBE) for a relaxed structure of Mn2OsSe.

Computed properties:
The space-group type is No. 65. For the formation energy without anion corrections, the calculation gives 0.3977 eV/atom. The calculation puts the spin magnetization at 6.88 μB per cell.

Cell: 2.821 2.821 8.228 Å, 90.00 90.00 113.18°
Fractional positions:
1 Mn 0.000 0.000 0.003
2 Mn 0.000 0.000 0.497
3 Os 0.500 0.500 0.250
4 Se 0.500 0.500 0.750

=====

Entry 16:
Density functional theory data (PBE) for a relaxed structure of MnOsSe2.

Computed properties:
The space-group type is No. 10. For the formation energy without anion corrections, the calculation gives 0.4364 eV/atom. The calculation puts the spin magnetization at 4.80 μB per cell. Its energy above the lowest structure with this stoichiometry is 519 meV per atom.

Cell: 3.763 4.629 4.685 Å, 73.19 90.00 90.00°
Fractional positions:
1 Mn 0.500 0.250 0.250
2 Os 0.500 0.750 0.750
3 Se 0.000 0.952 0.968
4 Se 0.000 0.548 0.532

=====

Entry 17:
Density functional theory data (PBE) for a relaxed structure of MnOsSe2.

Computed properties:
The space-group type is No. 6. For the formation energy without anion corrections, the calculation gives -0.0823 eV/atom. The calculation puts the spin magnetization at 2.21 μB per cell. Its energy above the lowest structure with this stoichiometry is 0 meV per atom.

Cell: 3.780 3.780 6.153 Å, 89.76 90.00 90.00°
Fractional positions:
1 Mn 0.000 0.375 0.625
2 Os 0.500 0.875 0.625
3 Se 0.000 0.873 0.881
4 Se 0.500 0.377 0.369

=====

Entry 18:
Density functional theory data (PBE) for a relaxed structure of MnOsSe2.

Computed properties:
The space-group type is No. 69. For the formation energy without anion corrections, the calculation gives 0.5831 eV/atom. The calculation puts the spin magnetization at 3.53 μB per cell. Its energy above the lowest structure with this stoichiometry is 665 meV per atom.

Cell: 4.827 4.827 4.257 Å, 67.58 67.58 109.01°
Fractional positions:
1 Mn 0.500 0.000 0.500
2 Os 0.000 0.500 0.500
3 Se 0.000 0.000 0.000
4 Se 0.500 0.500 0.000

=====

Entry 19:
Density functional theory data (PBE) for a relaxed structure of Mn2OsSe.

Computed properties:
The space-group type is No. 99. For the formation energy without anion corrections, the calculation gives 0.2778 eV/atom. The calculation puts the spin magnetization at 4.06 μB per cell.

Cell: 3.072 3.072 5.869 Å, 90.00 90.00 90.00°
Fractional positions:
1 Mn 0.000 0.000 0.993
2 Mn 0.500 0.500 0.246
3 Os 0.000 0.000 0.462
4 Se 0.500 0.500 0.799

=====

Entry 20:
Density functional theory data (PBE) for a relaxed structure of MnOs2Se.

Computed properties:
The space-group type is No. 44. For the formation energy without anion corrections, the calculation gives 0.5300 eV/atom. The calculation puts the spin magnetization at 2.16 μB per cell.

Cell: 5.154 5.154 5.154 Å, 146.85 129.69 61.58°
Fractional positions:
1 Mn 0.272 0.772 0.500
2 Os 0.996 0.996 0.000
3 Os 0.732 0.232 0.500
4 Se 0.500 0.500 0.000